VASP calculation (GGA-PBE) on a relaxed Pr2NdH2 crystal.

Computed properties:
DFT total energy in eV per atom: -4.4632

Cell lengths 3.761, 3.761, 17.705 Å; angles 90.00, 90.00, 120.00 degrees
Sites, in units of the cell vectors:
Pr1 0.333 0.667 0.086
Pr2 0.333 0.667 0.414
Pr3 0.667 0.333 0.586
Pr4 0.667 0.333 0.914
Nd1 0.333 0.667 0.750
Nd2 0.667 0.333 0.250
H1 0.000 0.000 0.170
H2 0.000 0.000 0.330
H3 0.000 0.000 0.670
H4 0.000 0.000 0.830


VASP calculation (GGA-PBE) on a relaxed CaNdHg2 crystal.

Computed properties:
Energy relative to the elements in eV/atom: -0.3644

Cell lengths 9.115, 9.115, 9.115 Å; angles 25.54, 25.54, 25.54 degrees
Sites, in units of the cell vectors:
Ca1 0.000 0.000 0.000
Nd1 0.167 0.167 0.167
Hg1 0.416 0.416 0.416
Hg2 0.584 0.584 0.584


VASP calculation (GGA-PBE) on a relaxed RbNdTeSe crystal.

Computed properties:
Formation energy without anion corrections in eV per atom: -1.54

Cell lengths 8.881, 8.881, 8.881 Å; angles 29.21, 29.21, 29.21 degrees
Sites, in units of the cell vectors:
Rb1 0.000 0.000 0.000
Nd1 0.161 0.161 0.161
Te1 0.567 0.567 0.567
Se1 0.766 0.766 0.766